! CaTe4Rh, optimized geometry, DFT PBE-GGA; values from VASP
&SYSTEM
  ibrav = 0, nat = 6, ntyp = 3
/
ATOMIC_SPECIES
Te 127.60 Te.upf
Rh 102.91 Rh.upf
Ca 40.08 Ca.upf
ATOMIC_POSITIONS angstrom
Te 5.174 -6.794 -0.276
Te 2.697 -7.876 -1.922
Te 2.680 -8.018 1.240
Te 2.428 -5.221 -0.220
Rh 0.000 0.000 0.000
Ca 4.867 -10.466 -0.442
CELL_PARAMETERS angstrom
5.455 -3.124 -0.110
0.500 -5.556 2.901
0.535 -5.275 -3.380
! Final energy = -3.2858 eV per atom
! Magnetization = 0.16 μB/atom
! Mass density = 6.173 Mg/m³
! Space-group type = No. 216
! Formation energy (no corrections) = 367.5 meV/atom

=====

! Ca2Ac2LaPm, optimized geometry, DFT PBE-GGA; values from VASP
&SYSTEM
  ibrav = 0, nat = 12, ntyp = 4
/
ATOMIC_SPECIES
Ac 227.00 Ac.upf
Pm 145.00 Pm.upf
Ca 40.08 Ca.upf
La 138.91 La.upf
ATOMIC_POSITIONS angstrom
Ac 0.000 6.771 2.093
Ac 2.734 4.867 7.653
Ac 0.000 2.906 9.509
Ac 2.734 1.002 3.949
Pm 2.734 4.975 3.972
Pm 2.734 1.109 7.630
Ca 2.734 4.844 0.046
Ca 0.000 6.811 9.646
Ca 0.000 2.946 1.955
Ca 2.734 0.979 11.555
La 0.000 6.871 5.806
La 0.000 3.006 5.795
CELL_PARAMETERS angstrom
5.468 0.000 0.000
0.000 7.730 0.000
0.000 0.000 11.602
! Final energy = -3.6042 eV per atom
! Magnetization = 0.00 μB/atom
! Mass density = 5.540 Mg/m³
! Space-group type = No. 26
! ΔE_f = 45.5 meV per atom

=====

! La3AlSe, optimized geometry, DFT PBE-GGA; values from VASP
&SYSTEM
  ibrav = 0, nat = 5, ntyp = 3
/
ATOMIC_SPECIES
Se 78.96 Se.upf
Al 26.98 Al.upf
La 138.91 La.upf
ATOMIC_POSITIONS angstrom
Se 0.000 0.000 0.000
Al -4.024 2.411 1.347
La -1.985 0.960 -1.755
La -1.999 -1.001 1.715
La -0.039 2.453 1.386
CELL_PARAMETERS angstrom
-3.971 1.919 -3.509
-3.999 -2.003 3.430
-0.079 4.906 2.773
! Final energy = -4.9604 eV per atom
! Magnetization = 0.00 μB/atom
! Relative energy among the computed polymorphs = 0 meV per atom
! Mass density = 4.848 Mg/m³
! Space-group type = No. 221
! Formation energy (no corrections) = -558.5 meV/atom

=====

! Th2TeH2Se2, optimized geometry, DFT PBE-GGA; values from VASP
&SYSTEM
  ibrav = 0, nat = 7, ntyp = 4
/
ATOMIC_SPECIES
Se 78.96 Se.upf
Te 127.60 Te.upf
H 1.01 H.upf
Th 232.04 Th.upf
ATOMIC_POSITIONS angstrom
Se 6.181 3.569 3.975
Se 2.060 1.190 7.515
Te 0.000 0.000 0.000
H 4.121 2.379 9.401
H 4.121 2.379 2.088
Th 2.060 1.190 2.306
Th 6.181 3.569 9.183
CELL_PARAMETERS angstrom
4.121 0.000 0.000
2.060 3.569 0.000
2.060 1.190 11.489
! Final energy = -5.7780 eV per atom
! Magnetization = 0.00 μB/atom
! Mass density = 7.386 Mg/m³
! Space-group type = No. 166

=====

! CuIrPt2, optimized geometry, DFT PBE-GGA; values from VASP
&SYSTEM
  ibrav = 0, nat = 4, ntyp = 3
/
ATOMIC_SPECIES
Pt 195.08 Pt.upf
Cu 63.55 Cu.upf
Ir 192.22 Ir.upf
ATOMIC_POSITIONS angstrom
Pt 0.790 0.241 4.681
Pt 4.705 1.434 2.349
Cu 2.359 0.719 1.172
Ir 7.077 2.156 3.517
CELL_PARAMETERS angstrom
4.732 -0.001 0.002
3.927 2.640 0.002
0.777 0.237 4.686
! Final energy = -6.2157 eV per atom
! Magnetization = 0.00 μB/atom
! Relative energy among the computed polymorphs = 96 meV per atom
! Mass density = 18.321 Mg/m³
! Space-group type = No. 12
! ΔE_f = 44.0 meV per atom

=====

! NbBN3, optimized geometry, DFT PBE-GGA; values from VASP
&SYSTEM
  ibrav = 0, nat = 5, ntyp = 3
/
ATOMIC_SPECIES
N 14.01 N.upf
Nb 92.91 Nb.upf
B 10.81 B.upf
ATOMIC_POSITIONS angstrom
N -0.939 -1.404 0.079
N 0.126 -0.178 -1.677
N 1.400 -0.926 0.204
Nb 0.587 -2.508 -1.394
B 0.000 0.000 0.000
CELL_PARAMETERS angstrom
-1.879 -2.808 0.158
0.252 -0.357 -3.354
2.801 -1.851 0.407
! Final energy = -7.7429 eV per atom
! Magnetization = 0.00 μB/atom
! Mass density = 6.256 Mg/m³
! Space-group type = No. 221
! Formation energy (no corrections) = 601.8 meV/atom

=====

! HoGe3Ru, optimized geometry, DFT PBE-GGA; values from VASP
&SYSTEM
  ibrav = 0, nat = 10, ntyp = 3
/
ATOMIC_SPECIES
Ru 101.07 Ru.upf
Ho 164.93 Ho.upf
Ge 72.64 Ge.upf
ATOMIC_POSITIONS angstrom
Ru -1.967 -1.467 5.777
Ru -4.329 -1.601 2.087
Ho -5.253 1.087 0.379
Ho -2.939 0.992 4.205
Ge -2.409 -0.369 1.484
Ge -6.275 1.226 5.494
Ge -6.088 -0.264 3.047
Ge -5.229 2.383 3.185
Ge -3.636 -2.387 4.304
Ge -3.846 -0.700 7.075
CELL_PARAMETERS angstrom
-5.590 0.678 -0.839
-1.009 -4.796 2.844
-0.398 3.178 5.218
! Final energy = -5.9657 eV per atom
! Magnetization = 0.00 μB/atom
! Mass density = 8.137 Mg/m³
! Space-group type = No. 31
! ΔE_f = -424.5 meV per atom

=====

! ZnHg2Mo, optimized geometry, DFT PBE-GGA; values from VASP
&SYSTEM
  ibrav = 0, nat = 4, ntyp = 3
/
ATOMIC_SPECIES
Hg 200.59 Hg.upf
Zn 65.41 Zn.upf
Mo 95.94 Mo.upf
ATOMIC_POSITIONS angstrom
Hg 1.103 2.429 1.448
Hg 0.000 0.000 0.000
Zn 2.668 -0.007 1.448
Mo 3.771 2.421 0.000
CELL_PARAMETERS angstrom
5.335 -0.015 0.000
2.207 4.858 0.000
-3.771 -2.421 2.895
! Final energy = -2.5836 eV per atom
! Magnetization = 0.30 μB/atom
! Mass density = 12.433 Mg/m³
! Space-group type = No. 119
! ΔE_f = 593.6 meV per atom

=====

! TlGeP2Se8, optimized geometry, DFT PBE-GGA; values from VASP
&SYSTEM
  ibrav = 0, nat = 12, ntyp = 4
/
ATOMIC_SPECIES
Se 78.96 Se.upf
P 30.97 P.upf
Tl 204.38 Tl.upf
Ge 72.64 Ge.upf
ATOMIC_POSITIONS angstrom
Se -1.971 10.866 -3.451
Se -4.857 11.229 -2.209
Se -1.548 5.394 -1.007
Se -2.981 3.376 -3.603
Se -6.290 9.210 -4.805
Se -5.866 3.739 -2.361
Se -2.475 10.204 -0.399
Se -5.363 4.401 -5.412
P -2.028 3.361 -1.527
P -5.810 11.244 -4.285
Tl -3.919 7.302 -2.906
Ge 0.000 0.000 0.000
CELL_PARAMETERS angstrom
-1.876 1.838 -5.451
-5.781 1.579 -0.836
-0.180 11.188 0.476
! Final energy = -3.8111 eV per atom
! Magnetization = 0.00 μB/atom
! Mass density = 4.777 Mg/m³
! Space-group type = No. 148
! Formation energy (no corrections) = -4.4 meV/atom

=====

! Sr2Ti6N2O11, optimized geometry, DFT PBE-GGA; values from VASP
&SYSTEM
  ibrav = 0, nat = 21, ntyp = 4
/
ATOMIC_SPECIES
Sr 87.62 Sr.upf
O 16.00 O.upf
Ti 47.87 Ti.upf
N 14.01 N.upf
ATOMIC_POSITIONS angstrom
Sr 0.000 7.867 6.989
Sr 0.000 8.415 2.046
O 0.000 14.037 8.391
O 0.000 2.523 0.962
O 0.000 5.151 3.961
O 0.000 15.006 0.200
O 0.000 14.206 5.689
O 0.000 5.531 1.082
O 0.000 4.854 7.066
O 0.000 14.378 2.753
O 0.000 2.467 3.605
O 0.000 2.102 6.587
O 0.000 11.693 2.265
Ti 0.000 12.436 7.183
Ti 0.000 13.194 4.213
Ti 0.000 3.806 2.202
Ti 0.000 3.407 5.212
Ti 0.000 13.261 0.886
Ti 0.000 3.088 8.344
N 0.000 10.924 8.328
N 0.000 11.456 5.424
CELL_PARAMETERS angstrom
1.938 7.503 0.056
-1.938 7.503 0.056
0.000 1.475 9.216
! Final energy = -8.5960 eV per atom
! Magnetization = 0.00 μB/atom
! Relative energy among the computed polymorphs = 0 meV per atom
! Mass density = 4.134 Mg/m³
! Space-group type = No. 8
! Formation energy (no corrections) = -2790.1 meV/atom

=====

! Na2Zn3Ga4Sn, optimized geometry, DFT PBE-GGA; values from VASP
&SYSTEM
  ibrav = 0, nat = 10, ntyp = 4
/
ATOMIC_SPECIES
Na 22.99 Na.upf
Sn 118.71 Sn.upf
Ga 69.72 Ga.upf
Zn 65.41 Zn.upf
ATOMIC_POSITIONS angstrom
Na -4.346 -5.979 6.026
Na -3.142 -1.234 0.825
Sn -4.317 -4.531 2.449
Ga 0.000 0.000 0.000
Ga -1.147 -1.849 -1.953
Ga -1.652 -3.700 2.286
Ga -5.836 -3.512 4.565
Zn -7.153 -4.626 6.393
Zn -3.171 -2.682 4.402
Zn -0.335 -2.587 0.458
CELL_PARAMETERS angstrom
-3.358 0.008 -2.414
1.064 -3.707 -1.492
-6.341 -5.363 8.804
! Final energy = -2.3257 eV per atom
! Magnetization = 0.00 μB/atom
! Mass density = 5.134 Mg/m³
! Space-group type = No. 115
! ΔE_f = -68.7 meV per atom

=====

! LaSm3Se4, optimized geometry, DFT PBE-GGA; values from VASP
&SYSTEM
  ibrav = 0, nat = 16, ntyp = 3
/
ATOMIC_SPECIES
Se 78.96 Se.upf
Sm 150.36 Sm.upf
La 138.91 La.upf
ATOMIC_POSITIONS angstrom
Se 16.465 7.553 19.147
Se 6.346 2.850 10.392
Se 5.888 1.810 6.379
Se -0.669 0.693 2.792
Se 3.392 1.043 3.675
Se 15.169 4.664 16.433
Se 9.450 5.396 11.547
Se 12.673 3.897 13.729
Sm 0.000 0.000 0.000
Sm 6.054 4.352 7.868
Sm 1.300 2.891 2.718
Sm 9.281 2.854 10.054
Sm 9.742 3.894 14.071
Sm 14.496 5.356 19.221
La 12.958 6.475 15.347
La 2.839 1.771 6.592
CELL_PARAMETERS angstrom
-0.124 4.045 -1.033
-2.640 -1.506 2.865
18.561 5.707 20.108
! Final energy = -5.9769 eV per atom
! Magnetization = 0.00 μB/atom
! Relative energy among the computed polymorphs = 12 meV per atom
! Mass density = 7.124 Mg/m³
! Space-group type = No. 194
! Formation energy (no corrections) = -1849.0 meV/atom